The following is a PBE calculation of crystalline WSe2Br at its relaxed geometry, from the Alexandria database.

Cell: 4.805 4.805 4.805 Å, 123.92 123.92 83.34°
Fractional coordinates of all 4 atoms:
1 Br 0.750 0.250 0.500
2 Se 0.000 0.000 0.000
3 Se 0.250 0.750 0.500
4 W 0.500 0.500 0.000

SG: I-4m2 (119)
Uncorrected formation energy: 0.89 eV/atom
Theoretical density: 9.556 g/cm3
Magnetic moment: 0.0 μB/cell